{"formula": "Ac4SnRu", "functional": "PBE-GGA", "state": "relaxed", "lattice": [[7.217, 0.000, 0.000], [0.000, 9.911, 0.000], [-2.778, 0.000, 6.671]], "species": ["Ac", "Ac", "Ac", "Ac", "Ac", "Ac", "Ac", "Ac", "Sn", "Sn", "Ru", "Ru"], "fractional_positions": [[0.116, 0.250, 0.158], [0.231, 0.046, 0.729], [0.231, 0.454, 0.729], [0.341, 0.750, 0.384], [0.659, 0.250, 0.616], [0.769, 0.546, 0.271], [0.769, 0.954, 0.271], [0.884, 0.750, 0.842], [0.416, 0.750, 0.918], [0.584, 0.250, 0.082], [0.052, 0.750, 0.552], [0.948, 0.250, 0.448]], "delta_e_f_ev_per_atom": -0.19, "de_polymorph_mev_per_atom": 150, "sg": "P2_1/m, No. 11", "dos_at_fermi_per_ev_atom": 1.086}